Computed, not measured: a relaxed NpH6 crystal at the PBE level of DFT.

ΔE to the lowest computed polymorph in eV per atom: 0.000
Total DFT energy (no corrections) in eV/cell: -62.68

Cell lengths 4.236, 4.236, 4.236 Å; angles 90.00, 90.00, 90.00 degrees
Fractional coordinates of all 14 atoms:
Np (0.000, 0.000, 0.000)
Np (0.500, 0.500, 0.500)
H (0.000, 0.250, 0.500)
H (0.000, 0.500, 0.250)
H (0.000, 0.500, 0.750)
H (0.000, 0.750, 0.500)
H (0.250, 0.000, 0.500)
H (0.250, 0.500, 0.000)
H (0.500, 0.000, 0.250)
H (0.500, 0.000, 0.750)
H (0.500, 0.250, 0.000)
H (0.500, 0.750, 0.000)
H (0.750, 0.000, 0.500)
H (0.750, 0.500, 0.000)